Record 1
This record from Alexandria via LeMat-Bulk describes an optimized crystal structure of Sc4NiSb. The functional is PBE.

Its polymorph energy (0 for the lowest one) is 3.80 eV/f.u.

It has space group F-43m (No. 216), with a = 8.066 Å, b = 8.066 Å, c = 8.066 Å, α = 90.00°, β = 90.00° and γ = 90.00°. Symmetry generates all atoms from Sc at (0.125, 0.125, 0.125), Ni at (0.250, 0.250, 0.750) and Sb at (0.000, 0.000, 0.500).

***

Record 2
This record from Alexandria via LeMat-Bulk describes an optimized crystal structure of ScNiSb2. The functional is PBE.

It has space group I-42d (No. 122), with a = 7.483 Å, b = 7.483 Å, c = 6.155 Å, α = 90.00°, β = 90.00° and γ = 90.00°. Symmetry generates all atoms from Sc at (0.000, 0.000, 0.000), Ni at (0.000, 0.000, 0.500) and Sb at (0.198, 0.250, 0.625).

***

Record 3
This record from Alexandria via LeMat-Bulk describes an optimized crystal structure of Sc2NiSb. The functional is PBE.

It has space group Cmm2 (No. 35), with a = 4.620 Å, b = 4.636 Å, c = 7.623 Å, α = 90.00°, β = 90.00° and γ = 90.00°. Symmetry generates all atoms from Sc at (0.000, 0.000, 0.000), Sc at (0.000, 0.500, 0.325), Ni at (0.000, 0.000, 0.518) and Sb at (0.000, 0.500, 0.722).

***

Record 4
This record from Alexandria via LeMat-Bulk describes an optimized crystal structure of Sc2Ni2Sb. The functional is PBE.

Its polymorph energy (0 for the lowest one) is 1.61 eV/f.u.

It has space group I4/mmm (No. 139), with a = 4.352 Å, b = 4.352 Å, c = 9.940 Å, α = 90.00°, β = 90.00° and γ = 90.00°. Symmetry generates all atoms from Sc at (0.000, 0.500, 0.250), Ni at (0.000, 0.000, 0.111) and Sb at (0.000, 0.000, 0.500).

***

Record 5
This record from Alexandria via LeMat-Bulk describes an optimized crystal structure of Sc2NiSb. The functional is PBE.

It has space group Pmmm (No. 47), with a = 3.869 Å, b = 4.469 Å, c = 4.481 Å, α = 90.00°, β = 90.00° and γ = 90.00°. Symmetry generates all atoms from Sc at (0.000, 0.000, 0.000), Sc at (0.000, 0.500, 0.500), Ni at (0.500, 0.000, 0.500) and Sb at (0.500, 0.500, 0.000).

***

Record 6
This record from Alexandria via LeMat-Bulk describes an optimized crystal structure of ScNi2Sb. The functional is PBE.

It has space group Pm (No. 6), with a = 3.680 Å, b = 4.093 Å, c = 4.771 Å, α = 90.00°, β = 112.55° and γ = 90.00°. Symmetry generates all atoms from Sc at (0.000, 0.000, 0.000), Ni at (0.569, 0.500, 0.138), Ni at (0.717, 0.000, 0.433) and Sb at (0.281, 0.500, 0.563).

***

Record 7
This record from Alexandria via LeMat-Bulk describes an optimized crystal structure of ScNiSb3. The functional is PBE.

Its polymorph energy (0 for the lowest one) is 3.13 eV/f.u.

It has space group Pm-3m (No. 221), with a = 5.393 Å, b = 5.393 Å, c = 5.393 Å, α = 90.00°, β = 90.00° and γ = 90.00°. Symmetry generates all atoms from Sc at (0.000, 0.000, 0.000), Ni at (0.500, 0.500, 0.500) and Sb at (0.000, 0.000, 0.500).

***

Record 8
This record from Alexandria via LeMat-Bulk describes an optimized crystal structure of ScNiSb2. The functional is PBE.

It has space group F-43m (No. 216), with a = 6.984 Å, b = 6.984 Å, c = 6.984 Å, α = 90.00°, β = 90.00° and γ = 90.00°. Symmetry generates all atoms from Sc at (0.000, 0.000, 0.000), Ni at (0.250, 0.250, 0.750), Sb at (0.000, 0.000, 0.500) and Sb at (0.250, 0.250, 0.250).

***

Final energy values, unit eV for the cell shown, following the record order: -134.6; -86.7; -47.3; -59.7; -24.7; -23.8; -20.8; -81.5.
N(E_F) values, unit states/eV/cell, following the record order: 37.87; 13.73; 10.27; 5.32; 4.00; 2.52; 4.66; 8.92.